A relaxed structure of Rb3Mn2AgF9, computed with PBE with a Hubbard U.

a b c (Å): 6.1271 6.1271 7.5775
angles (deg): 90.00 90.00 120.00
Closest atoms and distances in Å follow each position.
Positions (direct):
Rb1 0.0000 0.0000 0.0000  12 F 3.02-3.06
Rb2 0.3333 0.6667 0.6537  12 F 3.07-3.16
Rb3 0.6667 0.3333 0.3463  12 F 3.07-3.16
Mn1 0.3333 0.6667 0.1561  6 F 2.05-2.13
Mn2 0.6667 0.3333 0.8439  6 F 2.05-2.13
Ag1 0.0000 0.0000 0.5000  6 F 2.35
F1 0.0000 0.5000 0.0000  2 Mn 2.13
F2 0.1765 0.3530 0.3131  1 Mn 2.05
F3 0.1765 0.8235 0.3131  1 Mn 2.05
F4 0.3530 0.1765 0.6869  1 Mn 2.05
F5 0.5000 0.0000 0.0000  2 Mn 2.13
F6 0.5000 0.5000 0.0000  2 Mn 2.13
F7 0.6470 0.8235 0.3131  1 Mn 2.05
F8 0.8235 0.1765 0.6869  1 Mn 2.05
F9 0.8235 0.6470 0.6869  1 Mn 2.05

Output
Calculated density, kg/m³: 4348
Magnetization, μB/f.u.: 9.0
Electronic total energy, Ry per atom: -0.36714
V, Å³/f.u.: 246.36
Symmetry: P-3m1, No. 164